UAl2Au8 | Alexandria | PBE-GGA | optimized geometry; VASP energy = -4.309 eV per atom; calculated volume = 18.9 A^3/atom; size of the total moment = 2.640 μB/f.u.; formation enthalpy at 0 K = -232 kJ/mol of formula units
1.0
4.084 0.000 -1.174
-0.856 7.052 -2.979
-0.078 -0.394 7.420
Au Al U
8 2 1
Cartesian
3.608 1.558 4.861
1.997 6.190 -0.744
2.759 4.735 1.908
-0.458 5.100 -1.594
0.391 1.923 1.359
1.153 0.468 4.011
2.039 3.283 -0.598
1.111 3.375 3.865
0.278 4.796 0.967
2.872 1.862 2.300
2.042 0.000 -0.587